CaBePt3: relaxed, PBE-GGA.

Summary:
energy above the lowest structure with this stoichiometry = 192 meV/atom
theoretical density = 11.5 g cm⁻³
V = 18.28 Å³/atom
energy of formation from the pure elements = -0.546 eV per atom

Unit cell a=11.843 b=4.093 c=8.471 alpha=90.00 beta=117.06 gamma=90.00
Space group C2/m (No. 12)
Unique sites:
Ca (0.193, 0.000, 0.153) (multiplicity 4)
Be (0.087, 0.500, 0.427) (multiplicity 4)
Pt (0.033, 0.500, 0.876) (multiplicity 4)
Pt (0.053, 0.000, 0.694) (multiplicity 4)
Pt (0.201, 0.000, 0.543) (multiplicity 4)

---

Ca2BePt: relaxed, PBE-GGA.

Summary:
theoretical density = 5.0 g cm⁻³
V = 23.46 Å³/atom
energy of formation from the pure elements = -0.535 eV per atom

Unit cell a=4.440 b=4.035 c=5.687 alpha=90.00 beta=112.94 gamma=90.00
Space group Pm (No. 6)
Unique sites:
Ca (0.000, 0.000, 0.000) (multiplicity 1)
Ca (0.288, 0.500, 0.577) (multiplicity 1)
Be (0.602, 0.500, 0.206) (multiplicity 1)
Pt (0.695, 0.000, 0.389) (multiplicity 1)

---

Ca4BePt: relaxed, PBE-GGA.

Summary:
theoretical density = 3.8 g cm⁻³
V = 26.64 Å³/atom
energy of formation from the pure elements = 0.734 eV per atom

Unit cell a=8.615 b=8.615 c=8.615 alpha=90.00 beta=90.00 gamma=90.00
Space group F-43m (No. 216)
Unique sites:
Ca (0.124, 0.124, 0.124) (multiplicity 16)
Be (0.000, 0.000, 0.500) (multiplicity 4)
Pt (0.250, 0.250, 0.750) (multiplicity 4)